This record from Alexandria describes a geometry-optimized Cr5Si4O14 structure. The functional is PBE+U.

Cell lengths 8.0892, 7.8255, 5.6421 Å; angles 90.96, 107.58, 118.15 degrees
Fractional positions:
O (0.2284, 0.2765, 0.0195)
O (0.0126, 0.3073, 0.5907)
O (0.9875, 0.6927, 0.4093)
O (0.3686, 0.6325, 0.8778)
O (0.6625, 0.2663, 0.5930)
O (0.2470, 0.9977, 0.2633)
O (0.7716, 0.7235, 0.9805)
O (0.3212, 0.9627, 0.7671)
O (0.6788, 0.0373, 0.2329)
O (0.6314, 0.3675, 0.1222)
O (0.3737, 0.3884, 0.6074)
O (0.7530, 0.0023, 0.7367)
O (0.3375, 0.7337, 0.4070)
O (0.6263, 0.6116, 0.3926)
Si (0.7741, 0.1531, 0.5198)
Si (0.7576, 0.6080, 0.2199)
Si (0.2259, 0.8469, 0.4802)
Si (0.2424, 0.3920, 0.7801)
Cr (0.3358, 0.8274, 0.0684)
Cr (0.0000, 0.0000, 0.0000)
Cr (0.5436, 0.6904, 0.6613)
Cr (0.4564, 0.3096, 0.3387)
Cr (0.6642, 0.1726, 0.9316)

***

This record from Alexandria describes a geometry-optimized CrSiO2 structure. The functional is PBE+U.

Cell lengths 5.3961, 5.3961, 5.3940 Å; angles 59.99, 59.99, 90.00 degrees
Fractional positions:
O (0.3744, 0.6250, 0.2500)
O (0.3756, 0.1250, 0.2500)
O (0.8750, 0.6256, 0.7500)
O (0.3750, 0.6244, 0.7500)
Cr (0.7500, 0.2500, 0.5000)
Cr (0.0000, 0.0000, 0.0000)
Si (0.5000, 0.5000, 0.0000)
Si (0.2500, 0.7500, 0.5000)

***

This record from Alexandria describes a geometry-optimized CrSiO2 structure. The functional is PBE+U.

Cell lengths 6.1904, 6.1904, 6.1904 Å; angles 27.27, 27.27, 27.27 degrees
Fractional positions:
Cr (0.5000, 0.5000, 0.5000)
O (0.1063, 0.1063, 0.1063)
O (0.8937, 0.8937, 0.8937)
Si (0.0000, 0.0000, 0.0000)

***

This record from Alexandria describes a geometry-optimized CrSiO3 structure. The functional is PBE+U.

Cell lengths 2.9280, 5.5457, 7.9173 Å; angles 84.63, 90.00, 90.00 degrees
Fractional positions:
O (0.2500, 0.2443, 0.1030)
O (0.7500, 0.7557, 0.8970)
O (0.2500, 0.0569, 0.6915)
O (0.7500, 0.9431, 0.3085)
O (0.2500, 0.5709, 0.6601)
O (0.7500, 0.4291, 0.3399)
Si (0.2500, 0.7861, 0.7903)
Si (0.7500, 0.2139, 0.2097)
Cr (0.2500, 0.6912, 0.3346)
Cr (0.7500, 0.3088, 0.6654)

***

This record from Alexandria describes a geometry-optimized CrSiO3 structure. The functional is PBE+U.

Cell lengths 3.7547, 3.7547, 3.7547 Å; angles 90.00, 90.00, 90.00 degrees
Fractional positions:
Si (0.5000, 0.5000, 0.5000)
O (0.5000, 0.0000, 0.0000)
O (0.0000, 0.0000, 0.5000)
O (0.0000, 0.5000, 0.0000)
Cr (0.0000, 0.0000, 0.0000)

***

This record from Alexandria describes a geometry-optimized Sm2CrSiO6 structure. The functional is PBE+U.

Cell lengths 4.2427, 5.3684, 5.3684 Å; angles 90.00, 90.00, 90.00 degrees
Fractional positions:
O (0.1282, 0.5000, 0.5000)
O (0.7024, 0.2241, 0.2241)
O (0.2148, 0.0000, 0.0000)
O (0.7024, 0.7759, 0.7759)
O (0.7024, 0.7759, 0.2241)
O (0.7024, 0.2241, 0.7759)
Cr (0.6104, 0.5000, 0.5000)
Sm (0.0382, 0.5000, 0.0000)
Sm (0.0382, 0.0000, 0.5000)
Si (0.6076, 0.0000, 0.0000)

***

Record-wise electronic total energy values, in eV for the cell shown: -180.78 -56.27 -28.55 -78.64 -31.99 -79.35